Density functional theory data (GGA-PBE) for a relaxed structure of In2Tc.

Computed properties:
The offset from the most stable computed form is 0.532 eV/atom. As for the space-group type: Fd-3m (227).

Lattice parameters (Å, degrees): 5.522 5.522 5.522 60.00 60.00 60.00
Each line ends with the local moment (μB).
Atoms (fractional coordinates):
In1 0.625 0.625 0.125  -0.02
Tc1 0.000 0.000 0.000  1.92
In2 0.125 0.625 0.625  -0.02
Tc2 0.250 0.250 0.250  1.92
In3 0.625 0.625 0.625  -0.02
In4 0.625 0.125 0.625  -0.04



Density functional theory data (GGA-PBE) for a relaxed structure of In2Tc.

Computed properties:
The offset from the most stable computed form is 0.000 eV/atom. As for the space-group type: Fm-3m (225).

Lattice parameters (Å, degrees): 4.551 4.551 4.551 60.00 60.00 60.00
Each line ends with the local moment (μB).
Atoms (fractional coordinates):
In1 0.750 0.750 0.750  -0.01
In2 0.250 0.250 0.250  -0.01
Tc1 0.000 0.000 0.000  0.47



Density functional theory data (GGA-PBE) for a relaxed structure of UInTc2.

Computed properties:
As for the space-group type: P4/mmm (123). As for the raw total energy: -8.78 eV/atom.

Lattice parameters (Å, degrees): 4.493 4.493 3.551 90.00 90.00 90.00
Atoms (fractional coordinates):
In1 0.000 0.000 0.500
U1 0.500 0.500 0.500
Tc1 0.000 0.500 0.000
Tc2 0.500 0.000 0.000



Density functional theory data (GGA-PBE) for a relaxed structure of YIn2Tc.

Computed properties:
As for the space-group type: F-43m (216). As for the raw total energy: -5.41 eV/atom.

Lattice parameters (Å, degrees): 4.931 4.931 4.931 60.00 60.00 60.00
Atoms (fractional coordinates):
In1 0.000 0.000 0.000
Y1 0.500 0.500 0.500
In2 0.750 0.750 0.750
Tc1 0.250 0.250 0.250